A plane-wave DFT calculation with PBE-GGA was carried out for a relaxed ZnHg2Se crystal.

Cell and atoms, written as POSCAR:
```
ZnHg2Se
1.0
3.8726 0.0000 0.0000
0.0000 4.7255 -0.1966
0.0000 0.9808 6.0302
Hg Se Zn
2 1 1
Cartesian
0.0000 5.5081 5.7738
1.9363 1.9916 1.1301
0.0000 3.1914 3.1479
1.9363 3.5745 4.5321
```

Properties
As for the uncorrected formation energy: -71.6 meV/atom. Its energy relative to the lowest polymorph listed for this composition is 140.7 meV per atom. The total energy comes out at -5.6 eV per cell.